The following is a DFT calculation (GGA-PBE) of an optimized crystal structure of Y2Th3Fe2.

```
Y2Th3Fe2
1.0
3.864 0.000 0.000
1.930 5.867 0.000
1.928 1.307 8.144
Y Th Fe
2 3 2
Cartesian
0.967 1.228 0.853 Y
6.755 5.945 7.291 Y
2.897 3.785 2.086 Th
2.896 0.653 4.072 Th
4.825 3.388 6.058 Th
2.897 4.477 4.727 Fe
4.825 2.696 3.417 Fe
```

Values from the calculation:
The energy relative to the elements is 34 meV/atom. The space group is P-1, No. 2.

---

The following is a DFT calculation (GGA-PBE) of an optimized crystal structure of YTcC3.

```
YTcC3
1.0
4.248 0.000 0.000
0.000 4.248 0.000
0.000 0.000 4.248
Y Tc C
1 1 3
Cartesian
0.000 0.000 0.000 Y
2.124 2.124 2.124 Tc
0.000 0.000 2.124 C
0.000 2.124 0.000 C
2.124 0.000 0.000 C
```

Values from the calculation:
The energy relative to the elements is 3193 meV/atom. The space group is Pm-3m, No. 221. For the polymorph energy (0 for the lowest one), the calculation gives 2.3398 eV/atom.